1.
A plane-wave DFT calculation with GGA-PBE was carried out for crystalline ZnNiC3 at its relaxed geometry.

Computed properties:
Its formation energy is 3.00 eV/atom. Its density of states at the Fermi level is 2.0 states/eV/cell. Its space group is No. 221.

a b c (Å): 3.8742 3.8742 3.8742
angles (deg): 90.00 90.00 90.00
Last column: nearest neighbours and their distance in Å.
Positions (direct):
Zn 0.0000 0.0000 0.0000  6 C 1.94
Ni 0.5000 0.5000 0.5000  12 C 2.74
C 0.0000 0.0000 0.5000  2 Zn 1.94
C 0.0000 0.5000 0.0000  2 Zn 1.94
C 0.5000 0.0000 0.0000  2 Zn 1.94



2.
A plane-wave DFT calculation with GGA-PBE was carried out for crystalline ZnNi2C2 at its relaxed geometry.

Computed properties:
Its formation energy is 0.82 eV/atom. Its density of states at the Fermi level is 1.8 states/eV/cell. Its space group is No. 139.

a b c (Å): 7.0094 7.0094 7.0094
angles (deg): 158.43 158.43 30.70
Last column: nearest neighbours and their distance in Å.
Positions (direct):
Zn 0.0000 0.0000 0.0000  8 Ni 2.61, 4 Zn 2.62
Ni 0.3638 0.3638 0.0000  4 C 2.02
Ni 0.6362 0.6362 0.0000  4 C 2.02
C 0.2500 0.7500 0.5000  4 C 1.86, 4 Ni 2.02
C 0.7500 0.2500 0.5000  4 C 1.86, 4 Ni 2.02



3.
A plane-wave DFT calculation with GGA-PBE was carried out for crystalline ZnNi2C2 at its relaxed geometry.

Computed properties:
Its formation energy is 1.20 eV/atom. Its density of states at the Fermi level is 5.6 states/eV/cell. Its space group is No. 127.

a b c (Å): 6.1060 6.1060 2.5766
angles (deg): 90.00 90.00 90.00
Last column: nearest neighbours and their distance in Å.
Positions (direct):
Zn 0.0000 0.0000 0.0000  4 Ni 2.37, 2 Zn 2.58
Zn 0.5000 0.5000 0.0000  4 Ni 2.37, 2 Zn 2.58
Ni 0.1361 0.3639 0.0000  6 C 2.15-2.28, 1 Ni 2.35, 2 Zn 2.37
Ni 0.3639 0.8639 0.0000  6 C 2.15-2.28, 1 Ni 2.35, 2 Zn 2.37
Ni 0.6361 0.1361 0.0000  6 C 2.15-2.28, 1 Ni 2.35, 2 Zn 2.37
Ni 0.8639 0.6361 0.0000  6 C 2.15-2.28, 1 Ni 2.35, 2 Zn 2.37
C 0.1455 0.6455 0.5000  6 Ni 2.15-2.28
C 0.3545 0.1455 0.5000  6 Ni 2.15-2.28
C 0.6455 0.8545 0.5000  6 Ni 2.15-2.28
C 0.8545 0.3545 0.5000  6 Ni 2.15-2.28



4.
A plane-wave DFT calculation with GGA-PBE was carried out for crystalline ZnNiC3 at its relaxed geometry.

Computed properties:
Its formation energy is 2.27 eV/atom. Its density of states at the Fermi level is 0.8 states/eV/cell. Its space group is No. 221.

a b c (Å): 3.7862 3.7862 3.7862
angles (deg): 90.00 90.00 90.00
Last column: nearest neighbours and their distance in Å.
Positions (direct):
Zn 0.0000 0.0000 0.0000  12 C 2.68
Ni 0.5000 0.5000 0.5000  6 C 1.89
C 0.0000 0.5000 0.5000  2 Ni 1.89
C 0.5000 0.0000 0.5000  2 Ni 1.89
C 0.5000 0.5000 0.0000  2 Ni 1.89



5.
A plane-wave DFT calculation with GGA-PBE was carried out for crystalline Zr2ZnNiC at its relaxed geometry.

Computed properties:
Its formation energy is -0.35 eV/atom. Its density of states at the Fermi level is 3.1 states/eV/cell. Its space group is No. 123.

a b c (Å): 4.5566 4.5566 3.7603
angles (deg): 90.00 90.00 90.00
Last column: nearest neighbours and their distance in Å.
Positions (direct):
Zr 0.0000 0.5000 0.0000  2 C 2.28
Zr 0.5000 0.0000 0.0000  2 C 2.28
Zn 0.0000 0.0000 0.5000  8 Zr 2.95, 4 Ni 3.22
Ni 0.5000 0.5000 0.5000  2 C 1.88
C 0.5000 0.5000 0.0000  2 Ni 1.88



6.
A plane-wave DFT calculation with GGA-PBE was carried out for crystalline Zr6Ni2C at its relaxed geometry.

Computed properties:
Its formation energy is -0.36 eV/atom. Its density of states at the Fermi level is 16.6 states/eV/cell. Its space group is No. 14.

a b c (Å): 5.8472 6.3808 10.5973
angles (deg): 90.00 121.38 90.00
Last column: nearest neighbours and their distance in Å.
Positions (direct):
Zr 0.1009 0.0266 0.2413  1 C 2.31
Zr 0.1009 0.4734 0.7413  1 C 2.31
Zr 0.2327 0.6869 0.0578  1 C 2.31
Zr 0.2327 0.8131 0.5578  1 C 2.31
Zr 0.3789 0.1865 0.0619  1 C 2.29
Zr 0.3789 0.3135 0.5619  1 C 2.29
Zr 0.6211 0.6865 0.4381  1 C 2.29
Zr 0.6211 0.8135 0.9381  1 C 2.29
Zr 0.7673 0.1869 0.4422  1 C 2.31
Zr 0.7673 0.3131 0.9422  1 C 2.31
Zr 0.8991 0.5266 0.2587  1 C 2.31
Zr 0.8991 0.9734 0.7587  1 C 2.31
Ni 0.3218 0.1012 0.7570  6 Zr 2.57-2.67
Ni 0.3218 0.3988 0.2570  6 Zr 2.57-2.67
Ni 0.6782 0.6012 0.7430  6 Zr 2.57-2.67
Ni 0.6782 0.8988 0.2430  6 Zr 2.57-2.67
C 0.0000 0.0000 0.0000  6 Zr 2.29-2.31
C 0.0000 0.5000 0.5000  6 Zr 2.29-2.31



7.
A plane-wave DFT calculation with GGA-PBE was carried out for crystalline Zr3NiC at its relaxed geometry.

Computed properties:
Its formation energy is -0.24 eV/atom. Its density of states at the Fermi level is 3.2 states/eV/cell. Its space group is No. 221.

a b c (Å): 4.4821 4.4821 4.4821
angles (deg): 90.00 90.00 90.00
Last column: nearest neighbours and their distance in Å.
Positions (direct):
Zr 0.0000 0.0000 0.5000  2 C 2.24
Zr 0.0000 0.5000 0.0000  2 C 2.24
Zr 0.5000 0.0000 0.0000  2 C 2.24
Ni 0.5000 0.5000 0.5000  12 Zr 3.17
C 0.0000 0.0000 0.0000  6 Zr 2.24



8.
A plane-wave DFT calculation with GGA-PBE was carried out for crystalline ZrNi6C at its relaxed geometry.

Computed properties:
Its formation energy is -0.08 eV/atom. Its density of states at the Fermi level is 3.9 states/eV/cell. Its space group is No. 166.

a b c (Å): 5.3539 5.3539 5.3539
angles (deg): 55.93 55.93 55.93
Last column: nearest neighbours and their distance in Å.
Positions (direct):
Zr 0.0000 0.0000 0.0000  12 Ni 2.78
Ni 0.0741 0.5950 0.5950  1 C 1.85
Ni 0.4050 0.4050 0.9259  1 C 1.85
Ni 0.4050 0.9259 0.4050  1 C 1.85
Ni 0.5950 0.0741 0.5950  1 C 1.85
Ni 0.5950 0.5950 0.0741  1 C 1.85
Ni 0.9259 0.4050 0.4050  1 C 1.85
C 0.5000 0.5000 0.5000  6 Ni 1.85